1.
## CsLiB3 (meta-GGA SCAN)

Data for a PBEsol-optimized structure of CsLiB3. Values from VASP.

Quantum ESPRESSO input file:
```
&SYSTEM
  ibrav = 0, nat = 5, ntyp = 3
/
ATOMIC_SPECIES
Cs 132.91 Cs.upf
B 10.81 B.upf
Li 6.94 Li.upf
ATOMIC_POSITIONS angstrom
Cs 0.0000 0.0000 0.0000
B 1.8907 -0.6217 1.4868
B -1.3940 0.5191 1.9897
B -0.8086 -2.3486 0.0462
Li -0.3120 -2.4512 3.5228
CELL_PARAMETERS angstrom
-1.6172 -4.6972 0.0924
3.7814 -1.2434 2.9736
-2.7881 1.0382 3.9795
```

Electronic total energy (eV per atom): -9.353
Space-group type: Pm-3m
Magnetization (μB per formula unit): 0.1
Energy of formation from the pure elements (meV per atom): 3145


2.
## Cs3NaLi2B2O6 (meta-GGA SCAN)

Data for a PBEsol-optimized structure of Cs3NaLi2B2O6. Values from VASP.

Quantum ESPRESSO input file:
```
&SYSTEM
  ibrav = 0, nat = 28, ntyp = 5
/
ATOMIC_SPECIES
Cs 132.91 Cs.upf
Na 22.99 Na.upf
Li 6.94 Li.upf
B 10.81 B.upf
O 16.00 O.upf
ATOMIC_POSITIONS angstrom
Cs 6.2965 -4.0786 5.5586
Cs 1.6553 -6.2833 3.2546
Cs -0.8102 -5.0295 -0.9293
Cs 3.8310 -2.8249 1.3748
Cs 5.1048 -7.1943 3.9697
Cs 0.3815 -1.9138 0.6596
Na 2.4768 -6.0524 -0.2488
Na 3.0095 -3.0557 4.8782
Li 6.4851 -2.0255 3.3881
Li 6.1743 -5.0682 1.3727
Li -0.6880 -4.0400 3.2567
Li -0.9988 -7.0827 1.2413
B 4.9414 -6.7583 0.6343
B 7.1909 -3.0933 1.5901
B 0.5449 -2.3499 3.9951
B -1.7046 -6.0148 3.0393
O 6.9430 -3.8748 2.7276
O 6.3265 -6.9337 0.8437
O 1.6989 -5.7024 -2.4591
O -0.8402 -2.1745 3.7856
O 4.6310 -1.6796 3.9173
O 4.3034 -5.7202 1.2928
O -1.4567 -5.2334 1.9018
O 0.8553 -7.4286 0.7120
O 3.4259 -5.3386 5.6535
O 3.7873 -3.4058 7.0884
O 1.1829 -3.3880 3.3366
O 2.0604 -3.7696 -1.0241
CELL_PARAMETERS angstrom
-3.6615 -1.6688 5.3232
-0.3151 -5.8983 -4.2104
9.4629 -1.5411 3.5165
```

Electronic total energy (eV per atom): -14.717
Space-group type: P-1
Magnetization (μB per formula unit): 0.0


3.
## CsLi5B2O6 (meta-GGA SCAN)

Data for a PBEsol-optimized structure of CsLi5B2O6. Values from VASP.

Quantum ESPRESSO input file:
```
&SYSTEM
  ibrav = 0, nat = 28, ntyp = 4
/
ATOMIC_SPECIES
Cs 132.91 Cs.upf
Li 6.94 Li.upf
B 10.81 B.upf
O 16.00 O.upf
ATOMIC_POSITIONS angstrom
Cs -2.6154 -2.2258 1.0518
Cs -3.0835 1.2569 3.8457
Li -3.1440 3.3042 1.2801
Li -5.1947 -1.4261 -1.2291
Li -2.5549 -4.2731 3.6175
Li -5.7590 -1.7905 1.2154
Li 0.0000 0.0000 0.0000
Li -0.5042 0.4572 6.1266
Li 0.0601 0.8216 3.6822
Li -2.8117 -6.7179 2.9986
Li -3.8065 0.4218 -1.0630
Li -2.8872 5.7491 1.8990
B -0.8211 -2.0844 4.0937
B -0.7810 3.1371 5.7577
B -4.8777 1.1155 0.8038
B -4.9179 -4.1060 -0.8602
O -0.3403 0.6483 1.8088
O -0.5809 -0.8162 4.6441
O -5.1179 -0.1527 0.2534
O -3.9038 1.9012 0.2057
O -2.8351 4.9168 0.1299
O -2.8638 -5.8856 4.7676
O -4.4245 -3.8466 3.0777
O -5.3586 -1.6172 3.0887
O -3.5487 4.2339 2.8840
O -2.1501 -5.2028 2.0136
O -1.2744 2.8777 1.8198
O -1.7950 -2.8701 4.6918
CELL_PARAMETERS angstrom
-4.1694 -5.9041 -2.0094
1.9140 -1.8124 7.0236
-3.4435 6.7476 -0.1166
```

Electronic total energy (eV per atom): -9.692
Space-group type: C2/c
Magnetization (μB per formula unit): 0.0


4.
## Cs2Li3B5O10 (meta-GGA SCAN)

Data for a PBEsol-optimized structure of Cs2Li3B5O10. Values from VASP.

Quantum ESPRESSO input file:
```
&SYSTEM
  ibrav = 0, nat = 40, ntyp = 4
/
ATOMIC_SPECIES
Cs 132.91 Cs.upf
Li 6.94 Li.upf
B 10.81 B.upf
O 16.00 O.upf
ATOMIC_POSITIONS angstrom
Cs 2.7195 4.3091 6.3207
Cs 1.1932 1.8906 0.0000
Cs 4.6489 1.4006 3.1603
Cs -0.7362 4.7992 9.4810
Li 0.2314 4.1885 3.1603
Li 3.6813 2.0112 9.4810
Li 0.5625 5.1013 0.5573
Li 3.3502 1.0984 6.8780
Li 4.3628 2.7029 12.0840
Li -0.4501 3.4968 5.7633
B -2.0169 5.6074 3.1603
B 5.9296 0.5923 9.4810
B 2.8976 4.4295 2.0796
B 1.0151 1.7702 8.4003
B 2.7516 4.5217 10.5617
B 1.1611 1.6781 4.2411
B -0.7417 5.9121 5.3317
B 4.6544 0.2876 11.6524
B 5.6559 1.8745 7.3096
B -1.7432 4.3252 0.9889
O 1.5832 4.3408 1.9245
O 2.3295 1.8589 8.2452
O 3.2371 3.2970 10.7168
O 0.6756 2.9027 4.3962
O -1.2733 5.0926 4.3382
O 5.1860 1.1071 10.6589
O 5.1449 1.0420 8.3032
O -1.2322 5.1578 1.9825
O 0.8372 0.8733 3.1558
O 3.0755 5.3265 9.4765
O 0.4280 1.1315 9.4855
O 3.4847 5.0682 3.1649
O 0.1219 2.3379 7.4447
O 3.7908 3.8618 1.1240
O 2.0579 1.1161 5.1967
O 1.8548 5.0837 11.5174
O -0.0820 5.4028 6.3737
O 3.9947 0.7970 0.0530
O 4.9122 2.2509 6.2676
O -0.9995 3.9489 12.5883
CELL_PARAMETERS angstrom
6.8580 0.0064 0.0000
-2.9453 6.1933 0.0000
0.0000 0.0000 12.6414
```

Electronic total energy (eV per atom): -11.656
Space-group type: C222_1
Magnetization (μB per formula unit): 0.0


5.
## CsNi2BMo (meta-GGA SCAN)

Data for a PBEsol-optimized structure of CsNi2BMo. Values from VASP.

Quantum ESPRESSO input file:
```
&SYSTEM
  ibrav = 0, nat = 5, ntyp = 4
/
ATOMIC_SPECIES
Cs 132.91 Cs.upf
Ni 58.69 Ni.upf
Mo 95.94 Mo.upf
B 10.81 B.upf
ATOMIC_POSITIONS angstrom
Cs 2.0395 2.0395 2.1928
Ni 0.0000 2.0395 0.0000
Ni 2.0395 0.0000 0.0000
Mo 0.0000 0.0000 2.1928
B 0.0000 0.0000 0.0000
CELL_PARAMETERS angstrom
4.0791 0.0000 0.0000
0.0000 4.0791 0.0000
0.0000 0.0000 4.3855
```

Electronic total energy (eV per atom): -21.370
Space-group type: P4/mmm
Magnetization (μB per formula unit): 2.2
Energy of formation from the pure elements (meV per atom): 1125


6.
## CsZr2BMo (meta-GGA SCAN)

Data for a PBEsol-optimized structure of CsZr2BMo. Values from VASP.

Quantum ESPRESSO input file:
```
&SYSTEM
  ibrav = 0, nat = 5, ntyp = 4
/
ATOMIC_SPECIES
Cs 132.91 Cs.upf
Mo 95.94 Mo.upf
B 10.81 B.upf
Zr 91.22 Zr.upf
ATOMIC_POSITIONS angstrom
Cs -4.0112 -0.0803 1.3368
Mo 0.0000 0.0000 0.0000
B -1.6714 -0.4812 -1.3723
Zr -1.3399 1.9470 0.9493
Zr -0.9999 -1.5461 1.7599
CELL_PARAMETERS angstrom
-3.3427 -0.9623 -2.7446
-1.9998 -3.0923 3.5198
-2.6799 3.8941 1.8985
```

Electronic total energy (eV per atom): -27.113
Space-group type: P4/mmm
Magnetization (μB per formula unit): 0.0
Energy of formation from the pure elements (meV per atom): 1191